[1]
# LaPr2Ho5Sc (PBE-GGA, optimized geometry)
data_LaPr2Ho5Sc
_chemical_formula_sum 'La4 Pr8 Ho20 Sc4'
_space_group_name_H-M_alt 'I 4/m c m'
_space_group_IT_number 140
_space_group_name_Hall '-I 4 2c'
_cell_length_a 8.680
_cell_length_b 8.680
_cell_length_c 15.494
_cell_angle_alpha 90.00
_cell_angle_beta 90.00
_cell_angle_gamma 90.00
loop_
_atom_site_label
_atom_site_type_symbol
_atom_site_fract_x
_atom_site_fract_y
_atom_site_fract_z
La1 La 0.000 0.000 0.250
Pr1 Pr 0.120 0.380 0.000
Ho1 Ho 0.000 0.000 0.000
Ho2 Ho 0.206 0.294 0.360
Sc1 Sc 0.000 0.500 0.250
# ΔH_f (0 K)   0.267 eV per atom
# Crystal system   tetragonal


[2]
# LaHf2Mn2 (PBE-GGA, optimized geometry)
data_LaHf2Mn2
_chemical_formula_sum 'La2 Hf4 Mn4'
_space_group_name_H-M_alt 'P 4/m b m'
_space_group_IT_number 127
_space_group_name_Hall '-P 4 2ab'
_cell_length_a 7.879
_cell_length_b 7.879
_cell_length_c 3.321
_cell_angle_alpha 90.00
_cell_angle_beta 90.00
_cell_angle_gamma 90.00
loop_
_atom_site_label
_atom_site_type_symbol
_atom_site_fract_x
_atom_site_fract_y
_atom_site_fract_z
La1 La 0.000 0.000 0.000
Hf1 Hf 0.142 0.358 0.500
Mn1 Mn 0.134 0.634 0.000
# ΔH_f (0 K)   0.206 eV per atom
# Crystal system   tetragonal


[3]
# YAuCl (PBE-GGA, optimized geometry)
data_YAuCl
_chemical_formula_sum 'Y1 Au1 Cl1'
_space_group_name_H-M_alt 'P 3 m 1'
_space_group_IT_number 156
_space_group_name_Hall 'P 3 -2"'
_cell_length_a 3.9068
_cell_length_b 3.9068
_cell_length_c 6.8340
_cell_angle_alpha 90.00
_cell_angle_beta 90.00
_cell_angle_gamma 120.00
loop_
_atom_site_label
_atom_site_type_symbol
_atom_site_fract_x
_atom_site_fract_y
_atom_site_fract_z
Y1 Y 0.0000 0.0000 0.0000
Au1 Au 0.6667 0.3333 0.2531
Cl1 Cl 0.3333 0.6667 0.7557
# Energy above the lowest structure with this stoichiometry   0 meV per atom
# Crystal system   trigonal


[4]
# AlNiMo (PBE-GGA, optimized geometry)
data_AlNiMo
_chemical_formula_sum 'Al1 Ni1 Mo1'
_space_group_name_H-M_alt 'P 3 m 1'
_space_group_IT_number 156
_space_group_name_Hall 'P 3 -2"'
_cell_length_a 4.1920
_cell_length_b 4.1920
_cell_length_c 2.7163
_cell_angle_alpha 90.00
_cell_angle_beta 90.00
_cell_angle_gamma 120.00
loop_
_atom_site_label
_atom_site_type_symbol
_atom_site_fract_x
_atom_site_fract_y
_atom_site_fract_z
Al1 Al 0.0000 0.0000 0.0000
Ni1 Ni 0.3333 0.6667 0.9929
Mo1 Mo 0.6667 0.3333 0.4980
# ΔH_f (0 K)   -0.127 eV per atom
# Energy above the lowest structure with this stoichiometry   149 meV per atom
# Crystal system   trigonal


[5]
# Sm5DyY2Er (PBE-GGA, optimized geometry)
data_Sm5DyY2Er
_chemical_formula_sum 'Sm20 Dy4 Y8 Er4'
_space_group_name_H-M_alt 'C m c 21'
_space_group_IT_number 36
_space_group_name_Hall 'C 2c -2'
_cell_length_a 5.645
_cell_length_b 20.204
_cell_length_c 10.644
_cell_angle_alpha 90.00
_cell_angle_beta 90.00
_cell_angle_gamma 90.00
loop_
_atom_site_label
_atom_site_type_symbol
_atom_site_fract_x
_atom_site_fract_y
_atom_site_fract_z
Sm1 Sm 0.000 0.018 0.000
Sm2 Sm 0.000 0.281 0.290
Sm3 Sm 0.000 0.298 0.685
Sm4 Sm 0.000 0.390 0.002
Sm5 Sm 0.000 0.481 0.722
Dy1 Dy 0.000 0.200 0.990
Y1 Y 0.000 0.111 0.716
Y2 Y 0.000 0.115 0.295
Er1 Er 0.000 0.410 0.440
# ΔH_f (0 K)   0.144 eV per atom
# Crystal system   orthorhombic


[6]
# Cs12K3I5 (PBE-GGA, optimized geometry)
data_Cs12K3I5
_chemical_formula_sum 'Cs96 K24 I40'
_space_group_name_H-M_alt 'I a -3 d'
_space_group_IT_number 230
_space_group_name_Hall '-I 4bd 2c 3'
_cell_length_a 24.908
_cell_length_b 24.908
_cell_length_c 24.908
_cell_angle_alpha 90.00
_cell_angle_beta 90.00
_cell_angle_gamma 90.00
loop_
_atom_site_label
_atom_site_type_symbol
_atom_site_fract_x
_atom_site_fract_y
_atom_site_fract_z
Cs1 Cs 0.032 0.055 0.646
K1 K 0.000 0.250 0.125
I1 I 0.000 0.000 0.000
I2 I 0.000 0.250 0.375
# Crystal system   cubic


[7]
# LaTcSe2 (PBE-GGA, optimized geometry)
data_LaTcSe2
_chemical_formula_sum 'La4 Tc4 Se8'
_space_group_name_H-M_alt 'F -4 3 m'
_space_group_IT_number 216
_space_group_name_Hall 'F -4 2 3'
_cell_length_a 6.974
_cell_length_b 6.974
_cell_length_c 6.974
_cell_angle_alpha 90.00
_cell_angle_beta 90.00
_cell_angle_gamma 90.00
loop_
_atom_site_label
_atom_site_type_symbol
_atom_site_fract_x
_atom_site_fract_y
_atom_site_fract_z
La1 La 0.000 0.000 0.000
Tc1 Tc 0.250 0.250 0.250
Se1 Se 0.000 0.000 0.500
Se2 Se 0.250 0.250 0.750
# Energy above the lowest structure with this stoichiometry   996 meV per atom
# Crystal system   cubic


[8]
# CuNi4H3 (PBE-GGA, optimized geometry)
data_CuNi4H3
_chemical_formula_sum 'Cu4 Ni16 H12'
_space_group_name_H-M_alt 'C 1 c 1'
_space_group_IT_number 9
_space_group_name_Hall 'C -2yc'
_cell_length_a 8.966
_cell_length_b 4.466
_cell_length_c 6.631
_cell_angle_alpha 90.00
_cell_angle_beta 111.89
_cell_angle_gamma 90.00
loop_
_atom_site_label
_atom_site_type_symbol
_atom_site_fract_x
_atom_site_fract_y
_atom_site_fract_z
Cu1 Cu 0.000 0.167 0.000
Ni1 Ni 0.101 0.330 0.698
Ni2 Ni 0.203 0.167 0.398
Ni3 Ni 0.305 0.328 0.099
Ni4 Ni 0.404 0.168 0.800
H1 H 0.094 0.470 0.441
H2 H 0.219 0.009 0.658
H3 H 0.296 0.484 0.832
# Crystal system   monoclinic


[9]
# GaBRu2 (PBE-GGA, optimized geometry)
data_GaBRu2
_chemical_formula_sum 'Ga4 B4 Ru8'
_space_group_name_H-M_alt 'C m c m'
_space_group_IT_number 63
_space_group_name_Hall '-C 2c 2'
_cell_length_a 2.981
_cell_length_b 10.843
_cell_length_c 6.003
_cell_angle_alpha 90.00
_cell_angle_beta 90.00
_cell_angle_gamma 90.00
loop_
_atom_site_label
_atom_site_type_symbol
_atom_site_fract_x
_atom_site_fract_y
_atom_site_fract_z
Ga1 Ga 0.000 0.007 0.250
B1 B 0.000 0.213 0.750
Ru1 Ru 0.000 0.357 0.004
# ΔH_f (0 K)   -0.321 eV per atom
# Energy above the lowest structure with this stoichiometry   0 meV per atom
# Crystal system   orthorhombic


[10]
# Ce5GeBi2 (PBE-GGA, optimized geometry)
data_Ce5GeBi2
_chemical_formula_sum 'Ce10 Ge2 Bi4'
_space_group_name_H-M_alt 'P b a m'
_space_group_IT_number 55
_space_group_name_Hall '-P 2 2ab'
_cell_length_a 8.246
_cell_length_b 12.607
_cell_length_c 4.654
_cell_angle_alpha 90.00
_cell_angle_beta 90.00
_cell_angle_gamma 90.00
loop_
_atom_site_label
_atom_site_type_symbol
_atom_site_fract_x
_atom_site_fract_y
_atom_site_fract_z
Ce1 Ce 0.000 0.000 0.000
Ce2 Ce 0.144 0.289 0.000
Ce3 Ce 0.212 0.557 0.500
Ge1 Ge 0.000 0.500 0.000
Bi1 Bi 0.083 0.820 0.500
# ΔH_f (0 K)   -0.576 eV per atom
# Crystal system   orthorhombic


[11]
# ThGa3Cu (PBE-GGA, optimized geometry)
data_ThGa3Cu
_chemical_formula_sum 'Th1 Ga3 Cu1'
_space_group_name_H-M_alt 'P 4/m m m'
_space_group_IT_number 123
_space_group_name_Hall '-P 4 2'
_cell_length_a 4.690
_cell_length_b 4.690
_cell_length_c 4.672
_cell_angle_alpha 90.00
_cell_angle_beta 90.00
_cell_angle_gamma 90.00
loop_
_atom_site_label
_atom_site_type_symbol
_atom_site_fract_x
_atom_site_fract_y
_atom_site_fract_z
Th1 Th 0.000 0.000 0.000
Ga1 Ga 0.000 0.500 0.500
Ga2 Ga 0.500 0.500 0.000
Cu1 Cu 0.500 0.500 0.500
# ΔH_f (0 K)   -0.124 eV per atom
# Energy above the lowest structure with this stoichiometry   352 meV per atom
# Crystal system   tetragonal


[12]
# TcRuSe2 (PBE-GGA, optimized geometry)
data_TcRuSe2
_chemical_formula_sum 'Tc2 Ru2 Se4'
_space_group_name_H-M_alt 'C m m m'
_space_group_IT_number 65
_space_group_name_Hall '-C 2 2'
_cell_length_a 3.022
_cell_length_b 5.514
_cell_length_c 8.087
_cell_angle_alpha 90.00
_cell_angle_beta 90.00
_cell_angle_gamma 90.00
loop_
_atom_site_label
_atom_site_type_symbol
_atom_site_fract_x
_atom_site_fract_y
_atom_site_fract_z
Tc1 Tc 0.000 0.000 0.000
Ru1 Ru 0.000 0.000 0.500
Se1 Se 0.000 0.500 0.250
# Energy above the lowest structure with this stoichiometry   715 meV per atom
# Crystal system   orthorhombic


[13]
# La2HfUN4 (PBE-GGA, optimized geometry)
data_La2HfUN4
_chemical_formula_sum 'La2 Hf1 U1 N4'
_space_group_name_H-M_alt 'P 1 2/m 1'
_space_group_IT_number 10
_space_group_name_Hall '-P 2y'
_cell_length_a 5.918
_cell_length_b 3.459
_cell_length_c 6.234
_cell_angle_alpha 90.00
_cell_angle_beta 108.16
_cell_angle_gamma 90.00
loop_
_atom_site_label
_atom_site_type_symbol
_atom_site_fract_x
_atom_site_fract_y
_atom_site_fract_z
La1 La 0.000 0.000 0.000
La2 La 0.500 0.500 0.000
Hf1 Hf 0.000 0.500 0.500
U1 U 0.500 0.000 0.500
N1 N 0.233 0.000 0.695
N2 N 0.263 0.500 0.304
# Crystal system   monoclinic


[14]
# TbPr4Th2 (PBE-GGA, optimized geometry)
data_TbPr4Th2
_chemical_formula_sum 'Tb3 Pr12 Th6'
_space_group_name_H-M_alt 'R -3 m'
_space_group_IT_number 166
_space_group_name_Hall '-R 3 2"'
_cell_length_a 3.6520
_cell_length_b 3.6520
_cell_length_c 62.6955
_cell_angle_alpha 90.00
_cell_angle_beta 90.00
_cell_angle_gamma 120.00
loop_
_atom_site_label
_atom_site_type_symbol
_atom_site_fract_x
_atom_site_fract_y
_atom_site_fract_z
Tb1 Tb 0.0000 0.0000 0.0000
Pr1 Pr 0.0000 0.0000 0.0963
Pr2 Pr 0.0000 0.0000 0.3801
Th1 Th 0.0000 0.0000 0.1894
# ΔH_f (0 K)   0.040 eV per atom
# Crystal system   trigonal


[15]
# Tm5ScTlIn2 (PBE-GGA, optimized geometry)
data_Tm5ScTlIn2
_chemical_formula_sum 'Tm20 Sc4 Tl4 In8'
_space_group_name_H-M_alt 'I 4/m c m'
_space_group_IT_number 140
_space_group_name_Hall '-I 4 2c'
_cell_length_a 8.068
_cell_length_b 8.068
_cell_length_c 15.310
_cell_angle_alpha 90.00
_cell_angle_beta 90.00
_cell_angle_gamma 90.00
loop_
_atom_site_label
_atom_site_type_symbol
_atom_site_fract_x
_atom_site_fract_y
_atom_site_fract_z
Tm1 Tm 0.000 0.000 0.000
Tm2 Tm 0.210 0.290 0.138
Sc1 Sc 0.000 0.500 0.250
Tl1 Tl 0.000 0.000 0.250
In1 In 0.117 0.383 0.500
# ΔH_f (0 K)   -0.017 eV per atom
# Crystal system   tetragonal


[16]
# OsRuRh2 (PBE-GGA, optimized geometry)
data_OsRuRh2
_chemical_formula_sum 'Os2 Ru2 Rh4'
_space_group_name_H-M_alt 'C 1 2/m 1'
_space_group_IT_number 12
_space_group_name_Hall '-C 2y'
_cell_length_a 9.023
_cell_length_b 2.706
_cell_length_c 4.698
_cell_angle_alpha 90.00
_cell_angle_beta 100.02
_cell_angle_gamma 90.00
loop_
_atom_site_label
_atom_site_type_symbol
_atom_site_fract_x
_atom_site_fract_y
_atom_site_fract_z
Os1 Os 0.000 0.000 0.000
Ru1 Ru 0.000 0.500 0.500
Rh1 Rh 0.250 0.000 0.751
# ΔH_f (0 K)   0.070 eV per atom
# Energy above the lowest structure with this stoichiometry   22 meV per atom
# Crystal system   monoclinic


[17]
# Pr8P3SBr4 (PBE-GGA, optimized geometry)
data_Pr8P3SBr4
_chemical_formula_sum 'Pr24 P9 S3 Br12'
_space_group_name_H-M_alt 'R -3 m'
_space_group_IT_number 166
_space_group_name_Hall '-R 3 2"'
_cell_length_a 8.3860
_cell_length_b 8.3860
_cell_length_c 22.0645
_cell_angle_alpha 90.00
_cell_angle_beta 90.00
_cell_angle_gamma 120.00
loop_
_atom_site_label
_atom_site_type_symbol
_atom_site_fract_x
_atom_site_fract_y
_atom_site_fract_z
Pr1 Pr 0.0000 0.0000 0.2337
Pr2 Pr 0.0008 0.5004 0.2331
P1 P 0.0000 0.5000 0.5000
S1 S 0.0000 0.0000 0.5000
Br1 Br 0.0000 0.0000 0.0000
Br2 Br 0.0000 0.5000 0.0000
# Crystal system   trigonal


[18]
# BCSe3 (PBE-GGA, optimized geometry)
data_BCSe3
_chemical_formula_sum 'B1 C1 Se3'
_space_group_name_H-M_alt 'P m -3 m'
_space_group_IT_number 221
_space_group_name_Hall '-P 4 2 3'
_cell_length_a 4.377
_cell_length_b 4.377
_cell_length_c 4.377
_cell_angle_alpha 90.00
_cell_angle_beta 90.00
_cell_angle_gamma 90.00
loop_
_atom_site_label
_atom_site_type_symbol
_atom_site_fract_x
_atom_site_fract_y
_atom_site_fract_z
B1 B 0.000 0.000 0.000
C1 C 0.500 0.500 0.500
Se1 Se 0.000 0.500 0.500
# Energy above the lowest structure with this stoichiometry   0 meV per atom
# Crystal system   cubic


[19]
# Zr4TiN5 (PBE-GGA, optimized geometry)
data_Zr4TiN5
_chemical_formula_sum 'Zr8 Ti2 N10'
_space_group_name_H-M_alt 'I 4/m'
_space_group_IT_number 87
_space_group_name_Hall '-I 4'
_cell_length_a 7.192
_cell_length_b 7.192
_cell_length_c 4.575
_cell_angle_alpha 90.00
_cell_angle_beta 90.00
_cell_angle_gamma 90.00
loop_
_atom_site_label
_atom_site_type_symbol
_atom_site_fract_x
_atom_site_fract_y
_atom_site_fract_z
Zr1 Zr 0.101 0.702 0.000
Ti1 Ti 0.000 0.000 0.500
N1 N 0.000 0.000 0.000
N2 N 0.098 0.707 0.500
# Crystal system   tetragonal


Number 1: calculated total energy -4.59 eV per atom, DOS(E_F) 1.2070 states/eV/atom. Number 2: calculated total energy -8.43 eV per atom, DOS(E_F) 1.4707 states/eV/atom. Number 3: calculated total energy -4.96 eV per atom, DOS(E_F) 1.1184 states/eV/atom. Number 4: calculated total energy -6.91 eV per atom, DOS(E_F) 1.1142 states/eV/atom. Number 5: calculated total energy -4.93 eV per atom, DOS(E_F) 1.6537 states/eV/atom. Number 6: calculated total energy -1.73 eV per atom, DOS(E_F) 0.7404 states/eV/atom. Number 7: calculated total energy -5.53 eV per atom, DOS(E_F) 0.9478 states/eV/atom. Number 8: calculated total energy -4.68 eV per atom, DOS(E_F) 0.4931 states/eV/atom. Number 9: calculated total energy -7.38 eV per atom, DOS(E_F) 0.3344 states/eV/atom. Number 10: calculated total energy -5.83 eV per atom, DOS(E_F) 3.8166 states/eV/atom. Number 11: calculated total energy -4.24 eV per atom, DOS(E_F) 0.5651 states/eV/atom. Number 12: calculated total energy -6.01 eV per atom, DOS(E_F) 1.5446 states/eV/atom. Number 13: calculated total energy -9.56 eV per atom, DOS(E_F) 0.4385 states/eV/atom. Number 14: calculated total energy -5.47 eV per atom, DOS(E_F) 1.4734 states/eV/atom. Number 15: calculated total energy -4.08 eV per atom, DOS(E_F) 1.0628 states/eV/atom. Number 16: calculated total energy -8.73 eV per atom, DOS(E_F) 0.9265 states/eV/atom. Number 17: calculated total energy -5.62 eV per atom, DOS(E_F) 0.4436 states/eV/atom. Number 18: calculated total energy -3.46 eV per atom, DOS(E_F) 0.8101 states/eV/atom. Number 19: calculated total energy -10.02 eV per atom, DOS(E_F) 0.3600 states/eV/atom.